## CuPPt3 (GGA-PBE)

Data for an optimized crystal structure of CuPPt3.

Output
- Magnetization: 0.00 μB/cell
- Formation energy: 1.197 eV per atom
- Symmetry: Pm-3m
- Polymorph energy (0 for the lowest one): 6.91 eV per formula unit

Cell: 4.562 4.562 4.562 Å, 90.00 90.00 90.00°
Positions (direct):
Cu  0.000  0.000  0.000
P  0.500  0.500  0.500
Pt  0.000  0.000  0.500
Pt  0.000  0.500  0.000
Pt  0.500  0.000  0.000